# 1
# SiBRhAuCS, optimized geometry, DFT PBE-GGA
# D(E_F)   1.876 states/eV per cell
# Energy relative to the lowest polymorph listed for this composition   0.082 eV/atom
# Total magnetization   0.0 μB/f.u.
# Theoretical density   6.64 g cm⁻³
# DFT total energy   -5.7520 eV per atom
data_SiBRhAuCS
_space_group_name_H-M_alt 'P 1'
_space_group_IT_number 1
_cell_length_a 4.114
_cell_length_b 4.943
_cell_length_c 5.101
_cell_angle_alpha 85.49
_cell_angle_beta 71.30
_cell_angle_gamma 76.91
loop_
_space_group_symop_operation_xyz
'x,y,z'
loop_
_atom_site_label
_atom_site_type_symbol
_atom_site_fract_x
_atom_site_fract_y
_atom_site_fract_z
_atom_site_occupancy
Si1 Si 0.000 0.000 0.000 1
B1 B 0.147 0.552 0.023 1
Rh1 Rh 0.597 0.712 0.997 1
Au1 Au 0.535 0.476 0.542 1
C1 C 0.903 0.359 0.126 1
S1 S 0.450 0.993 0.632 1

# 2
# VOsS2Cl, optimized geometry, DFT PBE-GGA
# D(E_F)   9.948 states/eV per cell
# Energy relative to the lowest polymorph listed for this composition   0.014 eV/atom
# Total magnetization   0.1 μB/f.u.
# Theoretical density   5.59 g cm⁻³
# DFT total energy   -5.2175 eV per atom
data_VOsS2Cl
_space_group_name_H-M_alt 'P 1'
_space_group_IT_number 1
_cell_length_a 4.595
_cell_length_b 4.595
_cell_length_c 4.792
_cell_angle_alpha 90.00
_cell_angle_beta 90.00
_cell_angle_gamma 90.00
loop_
_space_group_symop_operation_xyz
'x,y,z'
loop_
_atom_site_label
_atom_site_type_symbol
_atom_site_fract_x
_atom_site_fract_y
_atom_site_fract_z
_atom_site_occupancy
V1 V 0.000 0.000 0.000 1
Os1 Os 0.500 0.500 0.500 1
S1 S 0.000 0.500 0.500 1
S2 S 0.500 0.000 0.500 1
Cl1 Cl 0.500 0.500 0.000 1